The following is a GGA-PBE calculation of crystalline In2CuSn at its relaxed geometry, from Alexandria via LeMat-Bulk.

a b c (Å): 5.113 5.113 5.113
angles (deg): 60.00 60.00 60.00
Fractional coordinates of all 4 atoms:
Sn: 0.500 0.500 0.500
Cu: 0.000 0.000 0.000
In: 0.250 0.250 0.250
In: 0.750 0.750 0.750

## Properties
excess energy over the best structure of this formula in the dataset = 0.1599 eV/atom
energy = -0.2325 Ry per atom
E_form = 0.23 eV/atom

=====

The following is a GGA-PBE calculation of crystalline In6Cu6Sn at its relaxed geometry, from Alexandria via LeMat-Bulk.

a b c (Å): 5.554 7.153 7.153
angles (deg): 81.33 67.16 67.16
Fractional coordinates of all 13 atoms:
In: 0.338 0.662 0.662
In: 0.662 0.338 0.338
In: 0.000 0.337 0.663
In: 0.000 0.663 0.337
In: 0.324 0.176 0.176
In: 0.676 0.824 0.824
Cu: 0.000 0.500 0.000
Cu: 0.500 0.500 0.000
Cu: 0.000 0.000 0.500
Cu: 0.500 0.000 0.500
Cu: 0.500 0.753 0.247
Cu: 0.500 0.247 0.753
Sn: 0.000 0.000 0.000

## Properties
energy = -0.2508 Ry per atom
E_form = 0.05 eV/atom

=====

The following is a GGA-PBE calculation of crystalline In3Cu8Sn at its relaxed geometry, from Alexandria via LeMat-Bulk.

a b c (Å): 5.032 5.032 8.960
angles (deg): 73.69 73.69 60.00
Fractional coordinates of all 12 atoms:
In: 0.375 0.375 0.876
In: 0.002 0.002 0.995
In: 0.496 0.496 0.511
Cu: 0.938 0.438 0.185
Cu: 0.436 0.937 0.689
Cu: 0.438 0.438 0.185
Cu: 0.937 0.937 0.689
Cu: 0.187 0.187 0.438
Cu: 0.687 0.687 0.938
Cu: 0.438 0.938 0.185
Cu: 0.937 0.436 0.689
Sn: 0.877 0.877 0.369

## Properties
excess energy over the best structure of this formula in the dataset = 0.0000 eV/atom
energy = -0.2753 Ry per atom
E_form = 0.00 eV/atom

=====

The following is a GGA-PBE calculation of crystalline In3CuSn at its relaxed geometry, from Alexandria via LeMat-Bulk.

a b c (Å): 6.925 6.925 6.952
angles (deg): 104.56 121.96 102.49
Fractional coordinates of all 10 atoms:
In: 0.828 0.064 0.289
In: 0.224 0.461 0.289
In: 0.776 0.539 0.711
In: 0.723 0.451 0.174
In: 0.172 0.936 0.711
In: 0.277 0.549 0.826
Cu: 0.619 0.755 0.374
Cu: 0.381 0.245 0.626
Sn: 0.730 0.058 0.788
Sn: 0.270 0.942 0.212

## Properties
excess energy over the best structure of this formula in the dataset = 0.0139 eV/atom
energy = -0.2347 Ry per atom
E_form = 0.07 eV/atom